Here is crystalline K3Dy3PuO8 at its relaxed geometry from Alexandria via LeMat-Bulk. Energies are from PBE.

Cell lengths 6.9597, 6.9597, 19.0017 Å; angles 90.00, 90.00, 120.00 degrees
Space group R-3m (No. 166, hexagonal axes)
Inequivalent atoms, fractional coordinates:
K 0.0000 0.5000 0.0000 x9
Dy 0.0000 0.5000 0.5000 x9
Pu 0.0000 0.0000 0.5000 x3
O 0.0000 0.0000 0.2268 x6
O 0.0105 0.5053 0.2251 x18

## Properties
ΔE_f (raw) in eV per atom: -2.8152
Size of the total moment in μB/cell: 12.00
Volume in Å³ per cell: 797.1
Crystal system: trigonal
Electronic total energy in eV per atom: -7.5550

---

Here is crystalline K2DyPu3O12 at its relaxed geometry from Alexandria via LeMat-Bulk. Energies are from PBE.

Cell lengths 8.0081, 8.0081, 18.6990 Å; angles 90.00, 90.00, 120.00 degrees
Space group R-3m (No. 166, hexagonal axes)
Inequivalent atoms, fractional coordinates:
K 0.0000 0.0000 0.1707 x6
Dy 0.0000 0.0000 0.5000 x3
Pu 0.0000 0.5000 0.0000 x9
O 0.0580 0.5290 0.1016 x18
O 0.0910 0.5455 0.3535 x18

## Properties
ΔE_f (raw) in eV per atom: -2.5359
Size of the total moment in μB/cell: 15.00
Volume in Å³ per cell: 1038.5
Crystal system: trigonal
Electronic total energy in eV per atom: -8.6076

---

Here is crystalline K2DyPuO6 at its relaxed geometry from Alexandria via LeMat-Bulk. Energies are from PBE.

Cell lengths 8.575, 8.575, 8.575 Å; angles 90.00, 90.00, 90.00 degrees
Space group Fm-3m (No. 225)
Inequivalent atoms, fractional coordinates:
K 0.250 0.250 0.250 x8
Dy 0.000 0.000 0.000 x4
Pu 0.000 0.000 0.500 x4
O 0.000 0.000 0.264 x24

## Properties
ΔE_f (raw) in eV per atom: -2.5693
Size of the total moment in μB/cell: 4.00
Volume in Å³ per cell: 630.5
Crystal system: cubic
Electronic total energy in eV per atom: -7.6572

---

Here is crystalline KDy2PuO8 at its relaxed geometry from Alexandria via LeMat-Bulk. Energies are from PBE.

Cell lengths 4.397, 5.241, 7.854 Å; angles 91.63, 93.22, 92.89 degrees
Space group P-1 (No. 2)
Inequivalent atoms, fractional coordinates:
K 0.000 0.000 0.000 x1
Dy 0.432 0.475 0.722 x2
Pu 0.000 0.000 0.500 x1
O 0.083 0.710 0.314 x2
O 0.177 0.840 0.700 x2
O 0.363 0.245 0.474 x2
O 0.457 0.358 0.002 x2

## Properties
ΔE_f (raw) in eV per atom: -2.5168
Size of the total moment in μB/cell: 0.94
Volume in Å³ per cell: 180.4
Crystal system: triclinic
Electronic total energy in eV per atom: -7.8751

---

The lowest size of the total moment belongs to which entry?
KDy2PuO8

---

Please write out number 3 again, unchanged.
Here is crystalline K2DyPuO6 at its relaxed geometry from Alexandria via LeMat-Bulk. Energies are from PBE.

Cell lengths 8.575, 8.575, 8.575 Å; angles 90.00, 90.00, 90.00 degrees
Space group Fm-3m (No. 225)
Inequivalent atoms, fractional coordinates:
K 0.250 0.250 0.250 x8
Dy 0.000 0.000 0.000 x4
Pu 0.000 0.000 0.500 x4
O 0.000 0.000 0.264 x24

## Properties
ΔE_f (raw) in eV per atom: -2.5693
Size of the total moment in μB/cell: 4.00
Volume in Å³ per cell: 630.5
Crystal system: cubic
Electronic total energy in eV per atom: -7.6572

---

Which formula does entry 1 have?
K3Dy3PuO8